--- i ---
This record from OQMD via LeMat-Bulk describes an optimized crystal structure of NaTlBAu. The functional is PBE.

It has space group F-43m (No. 216), with a = 6.762 Å, b = 6.762 Å, c = 6.762 Å, α = 90.00°, β = 90.00° and γ = 90.00°. Symmetry generates all atoms from Na at (0.000, 0.000, 0.000), Tl at (0.000, 0.000, 0.500), B at (0.250, 0.250, 0.250) and Au at (0.250, 0.250, 0.750).

***

--- ii ---
This record from OQMD via LeMat-Bulk describes an optimized crystal structure of NaTlBAu. The functional is PBE.

It has space group F-43m (No. 216), with a = 6.694 Å, b = 6.694 Å, c = 6.694 Å, α = 90.00°, β = 90.00° and γ = 90.00°. Symmetry generates all atoms from Na at (0.000, 0.000, 0.000), Tl at (0.250, 0.250, 0.250), B at (0.250, 0.250, 0.750) and Au at (0.000, 0.000, 0.500).

***

Stability ranking, top and bottom: i is the most stable and ii is the least stable.